The following is a DFT calculation (PBE-GGA) of a relaxed K2RbCrI6 crystal.

Calculated values
- Formation energy without anion corrections: -0.999 eV per atom
- Electronic total energy: -3.21 eV/atom
- Spin magnetization: 2.90 μB per formula unit

a b c (Å): 8.778 8.778 8.778
angles (deg): 58.55 58.55 58.55
Element x y z (fractional)
K: 0.000 0.000 0.000
K: 0.486 0.486 0.486
Rb: 0.282 0.282 0.282
Cr: 0.791 0.791 0.791
I: 0.002 0.471 0.683
I: 0.115 0.888 0.596
I: 0.471 0.683 0.002
I: 0.596 0.115 0.888
I: 0.683 0.002 0.471
I: 0.888 0.596 0.115